Entry from Alexandria: Ca2Ga4BiAu3 after structural relaxation (PBE).

## Properties
- Spin magnetization: 0.00 μB/cell
- Energy: -3.44 eV/atom
- Energy of formation: -460 meV per atom
- N(E_F): 4.29 states/eV per cell

Lattice parameters (Å, degrees): 4.4661 4.4661 11.3302 90.00 90.00 90.00
Fractional coordinates of all 10 atoms:
Au 0.0000 0.5000 0.1248
Au 0.5000 0.0000 0.8752
Au 0.0000 0.0000 0.5000
Ga 0.0000 0.5000 0.3460
Ga 0.5000 0.5000 0.0000
Ga 0.5000 0.0000 0.6540
Ga 0.0000 0.0000 0.0000
Bi 0.5000 0.5000 0.5000
Ca 0.5000 0.0000 0.2333
Ca 0.0000 0.5000 0.7667